{
  "formula": "Hf3Ti2Sn2",
  "functional": "PBE-GGA",
  "state": "optimized geometry",
  "lattice_angstrom": [[7.0110, 0.0000, -2.4788], [-3.5055, 6.0717, -2.4787], [0.0000, 0.0000, 7.4363]],
  "species": ["Hf", "Hf", "Hf", "Hf", "Hf", "Hf", "Ti", "Ti", "Ti", "Ti", "Sn", "Sn", "Sn", "Sn"],
  "frac_coords": [[0.7280, 0.7500, 0.9780], [0.7500, 0.5220, 0.2720], [0.7720, 0.2500, 0.5220], [0.2500, 0.9780, 0.2280], [0.0220, 0.2720, 0.2500], [0.4780, 0.2280, 0.7500], [0.3396, 0.5000, 0.0000], [0.0000, 0.0000, 0.8396], [0.5000, 0.8396, 0.5000], [0.1604, 0.6604, 0.6604], [0.0000, 0.0000, 0.4686], [0.9686, 0.5000, 0.0000], [0.5000, 0.4686, 0.5000], [0.5314, 0.0314, 0.0314]],
  "e_above_lowest_polymorph_ev_per_atom": 0.313,
  "n_ef_per_ev_atom": 1.394,
  "space_group": "I2_13"
}


{
  "formula": "Hf4TiSn2",
  "functional": "PBE-GGA",
  "state": "optimized geometry",
  "lattice_angstrom": [[-6.3211, -3.8649, -0.3069], [2.4453, -3.6886, -3.9144], [5.6977, -1.9574, 5.4038]],
  "species": ["Sn", "Sn", "Sn", "Sn", "Ti", "Ti", "Hf", "Hf", "Hf", "Hf", "Hf", "Hf", "Hf", "Hf"],
  "frac_coords": [[0.8249, 0.7500, 0.0800], [0.6827, 0.7500, 0.6209], [0.1751, 0.2500, 0.9200], [0.3173, 0.2500, 0.3791], [0.7394, 0.2500, 0.6493], [0.2606, 0.7500, 0.3507], [0.5710, 0.4998, 0.2248], [0.8617, 0.2500, 0.0698], [0.1383, 0.7500, 0.9302], [0.5710, 0.0002, 0.2248], [0.4290, 0.5002, 0.7752], [0.4290, 0.9998, 0.7752], [0.0164, 0.2500, 0.5000], [0.9836, 0.7500, 0.5000]],
  "n_ef_per_ev_atom": 0.970,
  "space_group": "P2_1/m"
}


{
  "formula": "Hf3Ti4Sn4",
  "functional": "PBE-GGA",
  "state": "optimized geometry",
  "lattice_angstrom": [[-2.3796, -1.8449, -1.9449], [-2.8292, -3.9023, 7.1632], [-2.4120, 8.3103, -1.6287]],
  "species": ["Ti", "Ti", "Ti", "Ti", "Hf", "Hf", "Hf", "Sn", "Sn", "Sn", "Sn"],
  "frac_coords": [[0.3236, 0.5485, 0.6471], [0.6764, 0.4515, 0.3529], [0.6764, 0.9014, 0.3529], [0.3236, 0.0986, 0.6471], [0.8764, 0.8764, 0.7527], [0.1236, 0.1236, 0.2473], [0.0000, 0.5000, 0.0000], [0.5000, 0.8001, 0.0000], [0.2159, 0.7159, 0.4319], [0.5000, 0.1999, 0.0000], [0.7841, 0.2841, 0.5681]],
  "n_ef_per_ev_atom": 0.928,
  "space_group": "Immm"
}


{
  "formula": "Hf2Ti2Sn",
  "functional": "PBE-GGA",
  "state": "optimized geometry",
  "lattice_angstrom": [[-0.9956, -3.1893, 3.8115], [-3.8445, -3.1189, -1.0879], [-0.7402, -7.7462, 0.3191]],
  "species": ["Ti", "Ti", "Sn", "Hf", "Hf"],
  "frac_coords": [[0.0000, 0.5000, 0.5000], [0.5000, 0.0000, 0.5000], [0.0000, 0.0000, 0.0000], [0.2430, 0.2430, 0.1477], [0.7570, 0.7570, 0.8523]],
  "e_above_lowest_polymorph_ev_per_atom": 0.238,
  "n_ef_per_ev_atom": 1.302,
  "space_group": "C2/m"
}


Here are the calculated energy of formation numbers, same order: 0.15; -0.13; -0.21; 0.13 (eV/atom).